# Ti2BeW (PBE, relaxed)
data_Ti2BeW
_symmetry_space_group_name_H-M 'P 1'
_symmetry_Int_Tables_number 1
_symmetry_space_group_name_Hall 'P 1'
_cell_length_a 4.1532
_cell_length_b 4.1532
_cell_length_c 3.4089
_cell_angle_alpha 90.00
_cell_angle_beta 90.00
_cell_angle_gamma 90.00
loop_
_atom_site_label
_atom_site_type_symbol
_atom_site_fract_x
_atom_site_fract_y
_atom_site_fract_z
_atom_site_occupancy
Ti1 Ti 0.0000 0.5000 0.0000 1
Ti2 Ti 0.5000 0.0000 0.0000 1
Be1 Be 0.0000 0.0000 0.5000 1
W1 W 0.5000 0.5000 0.5000 1
# **V**: 14.70 Å³ per atom

***

# Cr3ReC (PBE, relaxed)
data_Cr3ReC
_symmetry_space_group_name_H-M 'P 1'
_symmetry_Int_Tables_number 1
_symmetry_space_group_name_Hall 'P 1'
_cell_length_a 3.8425
_cell_length_b 3.8425
_cell_length_c 3.8425
_cell_angle_alpha 90.00
_cell_angle_beta 90.00
_cell_angle_gamma 90.00
loop_
_atom_site_label
_atom_site_type_symbol
_atom_site_fract_x
_atom_site_fract_y
_atom_site_fract_z
_atom_site_occupancy
Cr1 Cr 0.0000 0.0000 0.5000 1
Cr2 Cr 0.0000 0.5000 0.0000 1
Cr3 Cr 0.5000 0.0000 0.0000 1
Re1 Re 0.5000 0.5000 0.5000 1
C1 C 0.0000 0.0000 0.0000 1
# **Offset from the most stable computed form**: 0 meV per atom
# **V**: 11.35 Å³ per atom

***

# Ca2TiB (PBE, relaxed)
data_Ca2TiB
_symmetry_space_group_name_H-M 'P 1'
_symmetry_Int_Tables_number 1
_symmetry_space_group_name_Hall 'P 1'
_cell_length_a 7.4887
_cell_length_b 7.4887
_cell_length_c 7.4887
_cell_angle_alpha 94.80
_cell_angle_beta 94.80
_cell_angle_gamma 146.39
loop_
_atom_site_label
_atom_site_type_symbol
_atom_site_fract_x
_atom_site_fract_y
_atom_site_fract_z
_atom_site_occupancy
Ca1 Ca 0.3750 0.0380 0.1630 1
Ca2 Ca 0.7880 0.6250 0.6630 1
Ca3 Ca 0.8750 0.2120 0.8370 1
Ca4 Ca 0.9620 0.1250 0.3370 1
Ti1 Ti 0.2500 0.7500 0.5000 1
Ti2 Ti 0.5000 0.5000 0.0000 1
B1 B 0.0000 0.0000 0.0000 1
B2 B 0.7500 0.2500 0.5000 1
# **V**: 27.82 Å³ per atom

***

# ErTmRu (PBE, relaxed)
data_ErTmRu
_symmetry_space_group_name_H-M 'P 1'
_symmetry_Int_Tables_number 1
_symmetry_space_group_name_Hall 'P 1'
_cell_length_a 6.7197
_cell_length_b 3.3741
_cell_length_c 12.7607
_cell_angle_alpha 90.00
_cell_angle_beta 90.00
_cell_angle_gamma 90.00
loop_
_atom_site_label
_atom_site_type_symbol
_atom_site_fract_x
_atom_site_fract_y
_atom_site_fract_z
_atom_site_occupancy
Er1 Er 0.1251 0.2500 0.1220 1
Er2 Er 0.3749 0.7500 0.6220 1
Er3 Er 0.6251 0.2500 0.3780 1
Er4 Er 0.8749 0.7500 0.8780 1
Tm1 Tm 0.1247 0.2500 0.3772 1
Tm2 Tm 0.3753 0.7500 0.8772 1
Tm3 Tm 0.6247 0.2500 0.1228 1
Tm4 Tm 0.8753 0.7500 0.6228 1
Ru1 Ru 0.1252 0.2500 0.7501 1
Ru2 Ru 0.3748 0.7500 0.2501 1
Ru3 Ru 0.6252 0.2500 0.7499 1
Ru4 Ru 0.8748 0.7500 0.2499 1
# **Offset from the most stable computed form**: 0 meV per atom
# **V**: 24.11 Å³ per atom

***

Energy of formation from the pure elements? In order: -0.001; 0.087; 0.509; -0.401 eV per atom.